VASP calculation (PBE with a Hubbard U) on an optimized crystal structure of MoPtRhO2.

abc: 3.877 5.277 3.877
angles: 90.00 90.00 90.00
Each line ends with the local moment (μB).
Fractional coordinates of all 5 atoms:
Mo 0.500 0.500 0.500  3.28
Rh 0.000 0.500 0.000  -0.33
O 0.000 0.000 0.500  -0.06
O 0.500 0.000 0.000  -0.32
Pt 0.000 0.000 0.000  -0.35

Output
N(E_F), states/eV per cell: 4.6
Space-group type: P4/mmm (123)
Crystal system: tetragonal
V, Å³/f.u.: 79
Final energy, eV/atom: -5.48